# TiCd3Pd GGA-PBEsol relaxed
# D(E_F): 5.45 states/eV per cell
# ΔH_f (0 K): 1.193 eV per atom
data_TiCd3Pd
_cell_length_a 5.112
_cell_length_b 5.112
_cell_length_c 5.112
_cell_angle_alpha 90.00
_cell_angle_beta 90.00
_cell_angle_gamma 90.00
_space_group_name_H-M_alt 'P m -3 m'
_space_group_IT_number 221
_space_group_name_Hall '-P 4 2 3'
loop_
_atom_site_label
_atom_site_fract_x
_atom_site_fract_y
_atom_site_fract_z
Ti1 0.000 0.000 0.000
Cd1 0.000 0.000 0.500
Pd1 0.500 0.500 0.500